Below is Pr2ReN5 after structural relaxation, with properties calculated at the PBE level.

The structure in POSCAR format:
```
Pr2ReN5
1.0
3.9879 0.0000 0.0000
-1.9940 6.3001 0.0000
0.0000 0.0000 11.1306
Pr Re N
4 2 10
direct
0.8550 0.7100 0.4328
0.8550 0.7100 0.0672
0.1450 0.2900 0.5672
0.1450 0.2900 0.9328
0.8613 0.7225 0.7500
0.1387 0.2775 0.2500
0.9531 0.9062 0.8749
0.9531 0.9062 0.6251
0.2676 0.5352 0.3895
0.2676 0.5352 0.1105
0.6673 0.3345 0.2500
0.3327 0.6655 0.7500
0.7324 0.4648 0.6105
0.7324 0.4648 0.8895
0.0469 0.0938 0.1251
0.0469 0.0938 0.3749
```

Properties
**Calculated density**: 6.39 Mg/m³
**Raw formation energy**: -184 meV per atom
**Symmetry**: Cmcm, No. 63


Below is TbPuAg2 after structural relaxation, with properties calculated at the PBE level.

The structure in POSCAR format:
```
TbPuAg2
1.0
3.3370 0.0000 0.0000
1.6685 2.8899 0.0000
1.6685 0.9633 10.1348
Tb Ag Pu
1 2 1
direct
0.0000 0.0000 0.0000
0.2520 0.2520 0.2441
0.7480 0.7480 0.7559
0.5000 0.5000 0.5000
```

Properties
**Calculated density**: 10.51 Mg/m³
**Symmetry**: R-3m, No. 166


Final energy / eV per atom: -8.138 -6.054